one | DFT (PBE) results for an optimized crystal structure of NbFeS3.

Computed properties:
The calculation puts the volume at 109.4 Å³/cell.

abc: 4.7833 4.7833 4.7833
angles: 90.00 90.00 90.00
With the nearest neighbours (Å) after each atom.
Space group Pm-3m (No. 221)
One atom of each set of equivalent atoms:
Nb (0.0000, 0.0000, 0.0000)  6 S 2.39
Fe (0.5000, 0.5000, 0.5000)  12 S 3.38
S (0.0000, 0.0000, 0.5000)  2 Nb 2.39

---

two | DFT (PBE) results for an optimized crystal structure of NbFeS3.

Computed properties:
The calculation puts the volume at 80.4 Å³/cell.

abc: 4.3167 4.3167 4.3167
angles: 90.00 90.00 90.00
With the nearest neighbours (Å) after each atom.
Space group Pm-3m (No. 221)
One atom of each set of equivalent atoms:
Nb (0.0000, 0.0000, 0.0000)  12 S 3.05
Fe (0.5000, 0.5000, 0.5000)  6 S 2.16
S (0.0000, 0.5000, 0.5000)  2 Fe 2.16

---

Best to worst by energy: one, two.

---

one | DFT (PBE) results for an optimized crystal structure of NbFeSb3.

Computed properties:
The calculation puts the volume at 151.5 Å³/cell.

abc: 5.3309 5.3309 5.3309
angles: 90.00 90.00 90.00
With the nearest neighbours (Å) after each atom.
Space group Pm-3m (No. 221)
One atom of each set of equivalent atoms:
Nb (0.0000, 0.0000, 0.0000)  6 Sb 2.67
Fe (0.5000, 0.5000, 0.5000)  12 Sb 3.77
Sb (0.0000, 0.0000, 0.5000)  2 Nb 2.67

---

two | DFT (PBE) results for an optimized crystal structure of NbFeSb3.

Computed properties:
The calculation puts the volume at 120.0 Å³/cell.

abc: 4.9318 4.9318 4.9318
angles: 90.00 90.00 90.00
With the nearest neighbours (Å) after each atom.
Space group Pm-3m (No. 221)
One atom of each set of equivalent atoms:
Nb (0.0000, 0.0000, 0.0000)  12 Sb 3.49
Fe (0.5000, 0.5000, 0.5000)  6 Sb 2.47
Sb (0.0000, 0.5000, 0.5000)  2 Fe 2.47

---

Best to worst by energy: two, one.

---

one | DFT (PBE) results for an optimized crystal structure of NbFeSb2.

Computed properties:
The calculation puts the volume at 244.1 Å³/cell.

abc: 3.1627 3.1627 28.1778
angles: 90.00 90.00 120.00
With the nearest neighbours (Å) after each atom.
Space group R-3m (No. 166, hexagonal axes)
One atom of each set of equivalent atoms:
Nb (0.0000, 0.0000, 0.0000)  2 Sb 2.84, 6 Nb 3.16
Fe (0.0000, 0.0000, 0.5000)  6 Sb 2.61
Sb (0.0000, 0.0000, 0.1006)  3 Fe 2.61, 1 Nb 2.84

---

two | DFT (PBE) results for an optimized crystal structure of NbFeSb2.

Computed properties:
The calculation puts the volume at 298.5 Å³/cell.

abc: 6.6835 6.6835 6.6835
angles: 90.00 90.00 90.00
With the nearest neighbours (Å) after each atom.
Space group Fm-3m (No. 225)
One atom of each set of equivalent atoms:
Nb (0.0000, 0.0000, 0.0000)  8 Sb 2.89
Fe (0.0000, 0.0000, 0.5000)  8 Sb 2.89
Sb (0.2500, 0.2500, 0.2500)  4 Nb 2.89, 4 Fe 2.89

---

Best to worst by energy: two, one.

---

one | DFT (PBE) results for an optimized crystal structure of NbFeSb2Te.

Computed properties:
The calculation puts the volume at 122.9 Å³/cell.

abc: 4.7513 4.7513 5.4447
angles: 90.00 90.00 90.00
With the nearest neighbours (Å) after each atom.
Space group P4/mmm (No. 123)
One atom of each set of equivalent atoms:
Nb (0.0000, 0.0000, 0.0000)  4 Te 3.36, 8 Sb 3.61
Fe (0.5000, 0.5000, 0.5000)  4 Sb 2.38
Sb (0.0000, 0.5000, 0.5000)  2 Fe 2.38
Te (0.5000, 0.5000, 0.0000)  2 Fe 2.72

---

two | DFT (PBE) results for an optimized crystal structure of NbFeSb2Te.

Computed properties:
The calculation puts the volume at 154.3 Å³/cell.

abc: 5.3776 5.3776 5.3352
angles: 90.00 90.00 90.00
With the nearest neighbours (Å) after each atom.
Space group P4/mmm (No. 123)
One atom of each set of equivalent atoms:
Nb (0.0000, 0.0000, 0.0000)  2 Te 2.67, 4 Sb 2.69
Fe (0.5000, 0.5000, 0.5000)  8 Sb 3.79, 4 Te 3.80
Sb (0.0000, 0.5000, 0.0000)  2 Nb 2.69
Te (0.0000, 0.0000, 0.5000)  2 Nb 2.67

---

Best to worst by energy: one, two.

---

one | DFT (PBE) results for an optimized crystal structure of Sc3NbFe.

Computed properties:
The calculation puts the volume at 107.9 Å³/cell.

abc: 4.7604 4.7604 4.7604
angles: 90.00 90.00 90.00
With the nearest neighbours (Å) after each atom.
Space group Pm-3m (No. 221)
One atom of each set of equivalent atoms:
Sc (0.0000, 0.0000, 0.5000)  2 Fe 2.38
Nb (0.5000, 0.5000, 0.5000)  12 Sc 3.37
Fe (0.0000, 0.0000, 0.0000)  6 Sc 2.38

---

two | DFT (PBE) results for an optimized crystal structure of Sc3NbFe.

Computed properties:
The calculation puts the volume at 120.6 Å³/cell.

abc: 4.9409 4.9409 4.9409
angles: 90.00 90.00 90.00
With the nearest neighbours (Å) after each atom.
Space group Pm-3m (No. 221)
One atom of each set of equivalent atoms:
Sc (0.0000, 0.0000, 0.5000)  2 Nb 2.47
Nb (0.0000, 0.0000, 0.0000)  6 Sc 2.47
Fe (0.5000, 0.5000, 0.5000)  12 Sc 3.49

---

Best to worst by energy: one, two.

---

one | DFT (PBE) results for an optimized crystal structure of Nb3FeSe.

Computed properties:
The calculation puts the volume at 99.2 Å³/cell.

abc: 4.6293 4.6293 4.6293
angles: 90.00 90.00 90.00
With the nearest neighbours (Å) after each atom.
Space group Pm-3m (No. 221)
One atom of each set of equivalent atoms:
Nb (0.0000, 0.0000, 0.5000)  2 Fe 2.31
Fe (0.0000, 0.0000, 0.0000)  6 Nb 2.31
Se (0.5000, 0.5000, 0.5000)  12 Nb 3.27

---

two | DFT (PBE) results for an optimized crystal structure of Nb3FeSe.

Computed properties:
The calculation puts the volume at 103.1 Å³/cell.

abc: 4.6884 4.6884 4.6884
angles: 90.00 90.00 90.00
With the nearest neighbours (Å) after each atom.
Space group Pm-3m (No. 221)
One atom of each set of equivalent atoms:
Nb (0.0000, 0.0000, 0.5000)  2 Se 2.34
Fe (0.5000, 0.5000, 0.5000)  12 Nb 3.32
Se (0.0000, 0.0000, 0.0000)  6 Nb 2.34

---

Best to worst by energy: one, two.

---

one | DFT (PBE) results for an optimized crystal structure of NbFe3Se.

Computed properties:
The calculation puts the volume at 96.3 Å³/cell.

abc: 4.5839 4.5839 4.5839
angles: 90.00 90.00 90.00
With the nearest neighbours (Å) after each atom.
Space group Pm-3m (No. 221)
One atom of each set of equivalent atoms:
Nb (0.0000, 0.0000, 0.0000)  6 Fe 2.29
Fe (0.0000, 0.0000, 0.5000)  2 Nb 2.29
Se (0.5000, 0.5000, 0.5000)  12 Fe 3.24

---

two | DFT (PBE) results for an optimized crystal structure of NbFe3Se.

Computed properties:
The calculation puts the volume at 80.1 Å³/cell.

abc: 4.3100 4.3100 4.3100
angles: 90.00 90.00 90.00
With the nearest neighbours (Å) after each atom.
Space group Pm-3m (No. 221)
One atom of each set of equivalent atoms:
Nb (0.0000, 0.0000, 0.0000)  12 Fe 3.05
Fe (0.0000, 0.5000, 0.5000)  2 Se 2.16
Se (0.5000, 0.5000, 0.5000)  6 Fe 2.16

---

Best to worst by energy: two, one.

---

one | DFT (PBE) results for an optimized crystal structure of NbFeSn3.

Computed properties:
The calculation puts the volume at 154.1 Å³/cell.

abc: 5.3612 5.3612 5.3612
angles: 90.00 90.00 90.00
With the nearest neighbours (Å) after each atom.
Space group Pm-3m (No. 221)
One atom of each set of equivalent atoms:
Nb (0.0000, 0.0000, 0.0000)  6 Sn 2.68
Fe (0.5000, 0.5000, 0.5000)  12 Sn 3.79
Sn (0.0000, 0.0000, 0.5000)  2 Nb 2.68

---

two | DFT (PBE) results for an optimized crystal structure of NbFeSn3.

Computed properties:
The calculation puts the volume at 117.7 Å³/cell.

abc: 4.9000 4.9000 4.9000
angles: 90.00 90.00 90.00
With the nearest neighbours (Å) after each atom.
Space group Pm-3m (No. 221)
One atom of each set of equivalent atoms:
Nb (0.0000, 0.0000, 0.0000)  12 Sn 3.46
Fe (0.5000, 0.5000, 0.5000)  6 Sn 2.45
Sn (0.0000, 0.5000, 0.5000)  2 Fe 2.45

---

Best to worst by energy: two, one.

---

one | DFT (PBE) results for an optimized crystal structure of Sr3NbFe.

Computed properties:
The calculation puts the volume at 194.6 Å³/cell.

abc: 5.7953 5.7953 5.7953
angles: 90.00 90.00 90.00
With the nearest neighbours (Å) after each atom.
Space group Pm-3m (No. 221)
One atom of each set of equivalent atoms:
Sr (0.0000, 0.0000, 0.5000)  2 Nb 2.90
Nb (0.0000, 0.0000, 0.0000)  6 Sr 2.90
Fe (0.5000, 0.5000, 0.5000)  12 Sr 4.10

---

two | DFT (PBE) results for an optimized crystal structure of Sr3NbFe.

Computed properties:
The calculation puts the volume at 177.9 Å³/cell.

abc: 5.6245 5.6245 5.6245
angles: 90.00 90.00 90.00
With the nearest neighbours (Å) after each atom.
Space group Pm-3m (No. 221)
One atom of each set of equivalent atoms:
Sr (0.0000, 0.0000, 0.5000)  2 Fe 2.81
Nb (0.5000, 0.5000, 0.5000)  12 Sr 3.98
Fe (0.0000, 0.0000, 0.0000)  6 Sr 2.81

---

Best to worst by energy: two, one.

---

one | DFT (PBE) results for an optimized crystal structure of SrNbFe2.

Computed properties:
The calculation puts the volume at 271.9 Å³/cell.

abc: 6.4785 6.4785 6.4785
angles: 90.00 90.00 90.00
With the nearest neighbours (Å) after each atom.
Space group Fm-3m (No. 225)
One atom of each set of equivalent atoms:
Sr (0.0000, 0.0000, 0.0000)  8 Fe 2.81
Nb (0.0000, 0.0000, 0.5000)  8 Fe 2.81
Fe (0.2500, 0.2500, 0.2500)  4 Nb 2.81, 4 Sr 2.81

---

two | DFT (PBE) results for an optimized crystal structure of SrNbFe2.

Computed properties:
The calculation puts the volume at 387.2 Å³/cell.

abc: 4.8789 4.8789 16.2674
angles: 90.00 90.00 90.00
With the nearest neighbours (Å) after each atom.
Space group I4_1/amd (No. 141, origin choice 2)
One atom of each set of equivalent atoms:
Sr (0.0000, 0.2500, 0.3750)  8 Fe 3.40, 4 Nb 3.45
Nb (0.0000, 0.2500, 0.8750)  4 Fe 2.37
Fe (0.0000, 0.0000, 0.0000)  2 Nb 2.37, 2 Fe 2.44

---

Best to worst by energy: two, one.

---

one | DFT (PBE) results for an optimized crystal structure of Ta2NbFe2.

Computed properties:
The calculation puts the volume at 164.6 Å³/cell.

abc: 4.1269 4.1269 9.6647
angles: 90.00 90.00 90.00
With the nearest neighbours (Å) after each atom.
Space group I4/mmm (No. 139)
One atom of each set of equivalent atoms:
Ta (0.0000, 0.5000, 0.2500)  4 Fe 2.47
Nb (0.0000, 0.0000, 0.0000)  8 Fe 3.11, 8 Ta 3.18
Fe (0.0000, 0.0000, 0.3901)  1 Fe 2.12

---

two | DFT (PBE) results for an optimized crystal structure of Ta2NbFe2.

Computed properties:
The calculation puts the volume at 152.7 Å³/cell.

abc: 7.0929 7.0929 3.0344
angles: 90.00 90.00 90.00
With the nearest neighbours (Å) after each atom.
Space group P4/mbm (No. 127)
One atom of each set of equivalent atoms:
Ta (0.1634, 0.3366, 0.0000)  6 Fe 2.56-2.59
Nb (0.0000, 0.0000, 0.5000)  4 Fe 2.78, 2 Nb 3.03, 8 Ta 3.06
Fe (0.1308, 0.6308, 0.5000)  6 Ta 2.56-2.59, 1 Fe 2.62, 2 Nb 2.78

---

Best to worst by energy: two, one.

---

one | DFT (PBE) results for an optimized crystal structure of TaNb3Fe.

Computed properties:
The calculation puts the volume at 357.3 Å³/cell.

abc: 5.3655 13.5692 4.9081
angles: 90.00 90.00 90.00
With the nearest neighbours (Å) after each atom.
Space group Cmcm (No. 63)
One atom of each set of equivalent atoms:
Ta (0.0000, 0.0584, 0.2500)  2 Ta 2.92, 8 Nb 3.05-3.12, 4 Fe 3.05
Nb (0.0000, 0.3351, 0.7500)  2 Fe 2.55, 6 Nb 2.82-2.83
Nb (0.2432, 0.1502, 0.7500)  5 Nb 2.61-2.83, 2 Fe 2.75
Fe (0.0000, 0.5000, 0.0000)  2 Fe 2.45, 2 Nb 2.55

---

two | DFT (PBE) results for an optimized crystal structure of TaNb3Fe.

Computed properties:
The calculation puts the volume at 113.5 Å³/cell.

abc: 4.8417 4.8417 4.8417
angles: 90.00 90.00 90.00
With the nearest neighbours (Å) after each atom.
Space group Pm-3m (No. 221)
One atom of each set of equivalent atoms:
Ta (0.0000, 0.0000, 0.0000)  6 Nb 2.42
Nb (0.0000, 0.0000, 0.5000)  2 Ta 2.42
Fe (0.5000, 0.5000, 0.5000)  12 Nb 3.42

---

Best to worst by energy: one, two.